# 1
# ScCo | Alexandria | SCAN | single point on PBEsol structure
data_ScCo
_chemical_formula_sum 'Sc2 Co2'
_symmetry_space_group_name_H-M 'P 1'
_symmetry_Int_Tables_number 1
_symmetry_space_group_name_Hall 'P 1'
_cell_length_a 4.2002
_cell_length_b 4.2002
_cell_length_c 5.0239
_cell_angle_alpha 90.00
_cell_angle_beta 90.00
_cell_angle_gamma 120.00
loop_
_atom_site_label
_atom_site_type_symbol
_atom_site_fract_x
_atom_site_fract_y
_atom_site_fract_z
Sc1 Sc 0.3333 0.6667 0.0645
Sc2 Sc 0.6667 0.3333 0.5645
Co1 Co 0.6667 0.3333 0.0645
Co2 Co 0.3333 0.6667 0.5645
# DFT total energy ... -15.05 eV/atom

# 2
# CaLa2In | Alexandria | SCAN | single point on PBEsol structure
data_CaLa2In
_chemical_formula_sum 'Ca1 La2 In1'
_symmetry_space_group_name_H-M 'P 1'
_symmetry_Int_Tables_number 1
_symmetry_space_group_name_Hall 'P 1'
_cell_length_a 4.9856
_cell_length_b 4.9856
_cell_length_c 4.9969
_cell_angle_alpha 90.00
_cell_angle_beta 90.00
_cell_angle_gamma 90.00
loop_
_atom_site_label
_atom_site_type_symbol
_atom_site_fract_x
_atom_site_fract_y
_atom_site_fract_z
In1 In 0.0000 0.0000 0.5000
La1 La 0.0000 0.5000 0.0000
La2 La 0.5000 0.0000 0.0000
Ca1 Ca 0.5000 0.5000 0.5000
# Energy above the lowest structure with this stoichiometry ... 0.000 eV/atom

# 3
# CoCuPt3 | Alexandria | SCAN | single point on PBEsol structure
data_CoCuPt3
_chemical_formula_sum 'Co1 Cu1 Pt3'
_symmetry_space_group_name_H-M 'P 1'
_symmetry_Int_Tables_number 1
_symmetry_space_group_name_Hall 'P 1'
_cell_length_a 4.4561
_cell_length_b 4.4561
_cell_length_c 4.4561
_cell_angle_alpha 90.00
_cell_angle_beta 90.00
_cell_angle_gamma 90.00
loop_
_atom_site_label
_atom_site_type_symbol
_atom_site_fract_x
_atom_site_fract_y
_atom_site_fract_z
Pt1 Pt 0.0000 0.0000 0.5000
Pt2 Pt 0.5000 0.0000 0.0000
Pt3 Pt 0.0000 0.5000 0.0000
Co1 Co 0.5000 0.5000 0.5000
Cu1 Cu 0.0000 0.0000 0.0000
# DFT total energy ... -47.41 eV/atom

# 4
# LaSc2Cu | Alexandria | SCAN | single point on PBEsol structure
data_LaSc2Cu
_chemical_formula_sum 'La1 Sc2 Cu1'
_symmetry_space_group_name_H-M 'P 1'
_symmetry_Int_Tables_number 1
_symmetry_space_group_name_Hall 'P 1'
_cell_length_a 3.3075
_cell_length_b 3.3075
_cell_length_c 8.1781
_cell_angle_alpha 90.00
_cell_angle_beta 90.00
_cell_angle_gamma 90.00
loop_
_atom_site_label
_atom_site_type_symbol
_atom_site_fract_x
_atom_site_fract_y
_atom_site_fract_z
La1 La 0.5000 0.5000 0.5000
Cu1 Cu 0.5000 0.5000 0.0000
Sc1 Sc 0.0000 0.0000 0.1859
Sc2 Sc 0.0000 0.0000 0.8141
# Energy above the lowest structure with this stoichiometry ... 0.000 eV/atom

# 5
# YZr4Cr | Alexandria | SCAN | single point on PBEsol structure
data_YZr4Cr
_chemical_formula_sum 'Y1 Zr4 Cr1'
_symmetry_space_group_name_H-M 'P 1'
_symmetry_Int_Tables_number 1
_symmetry_space_group_name_Hall 'P 1'
_cell_length_a 5.8012
_cell_length_b 5.8012
_cell_length_c 5.8012
_cell_angle_alpha 60.00
_cell_angle_beta 60.00
_cell_angle_gamma 60.00
loop_
_atom_site_label
_atom_site_type_symbol
_atom_site_fract_x
_atom_site_fract_y
_atom_site_fract_z
Y1 Y 0.0000 0.0000 0.0000
Zr1 Zr 0.3743 0.8771 0.3743
Zr2 Zr 0.3743 0.3743 0.3743
Zr3 Zr 0.3743 0.3743 0.8771
Zr4 Zr 0.8771 0.3743 0.3743
Cr1 Cr 0.7500 0.7500 0.7500
# DFT total energy ... -27.80 eV/atom

# 6
# InPbSe2O | Alexandria | SCAN | single point on PBEsol structure
data_InPbSe2O
_chemical_formula_sum 'In1 Pb1 Se2 O1'
_symmetry_space_group_name_H-M 'P 1'
_symmetry_Int_Tables_number 1
_symmetry_space_group_name_Hall 'P 1'
_cell_length_a 4.0112
_cell_length_b 5.3456
_cell_length_c 5.3456
_cell_angle_alpha 90.00
_cell_angle_beta 90.00
_cell_angle_gamma 90.00
loop_
_atom_site_label
_atom_site_type_symbol
_atom_site_fract_x
_atom_site_fract_y
_atom_site_fract_z
Se1 Se 0.0000 0.0000 0.5000
Se2 Se 0.0000 0.5000 0.0000
O1 O 0.5000 0.0000 0.0000
Pb1 Pb 0.5000 0.5000 0.5000
In1 In 0.0000 0.0000 0.0000
# Uncorrected formation energy ... -182 kJ/mol of formula units

# 7
# MnNbBr2N | Alexandria | SCAN | single point on PBEsol structure
data_MnNbBr2N
_chemical_formula_sum 'Mn1 Nb1 Br2 N1'
_symmetry_space_group_name_H-M 'P 1'
_symmetry_Int_Tables_number 1
_symmetry_space_group_name_Hall 'P 1'
_cell_length_a 4.9187
_cell_length_b 5.0909
_cell_length_c 5.0909
_cell_angle_alpha 90.00
_cell_angle_beta 90.00
_cell_angle_gamma 90.00
loop_
_atom_site_label
_atom_site_type_symbol
_atom_site_fract_x
_atom_site_fract_y
_atom_site_fract_z
Br1 Br 0.0000 0.0000 0.5000
Br2 Br 0.0000 0.5000 0.0000
Nb1 Nb 0.0000 0.0000 0.0000
N1 N 0.5000 0.5000 0.5000
Mn1 Mn 0.5000 0.0000 0.0000
# Uncorrected formation energy ... 485 kJ/mol of formula units

# 8
# Y5Mg | Alexandria | SCAN | single point on PBEsol structure
data_Y5Mg
_chemical_formula_sum 'Y5 Mg1'
_symmetry_space_group_name_H-M 'P 1'
_symmetry_Int_Tables_number 1
_symmetry_space_group_name_Hall 'P 1'
_cell_length_a 5.5236
_cell_length_b 6.0829
_cell_length_c 6.0829
_cell_angle_alpha 120.00
_cell_angle_beta 90.00
_cell_angle_gamma 90.00
loop_
_atom_site_label
_atom_site_type_symbol
_atom_site_fract_x
_atom_site_fract_y
_atom_site_fract_z
Y1 Y 0.0000 0.6778 0.0000
Y2 Y 0.0000 0.0000 0.6778
Y3 Y 0.5000 0.6667 0.3333
Y4 Y 0.5000 0.3333 0.6667
Y5 Y 0.0000 0.3222 0.3222
Mg1 Mg 0.5000 0.0000 0.0000
# Energy above the lowest structure with this stoichiometry ... 0.021 eV/atom

no.,magnetization (μB per atom)
1,0.2160
2,0.0334
3,0.5712
4,0.0000
5,0.1981
6,0.2038
7,1.1630
8,0.6453